[1]
Density functional theory data (GGA-PBE) for an optimized crystal structure of Gd2TmPt.

Unit cell a=3.722 b=3.722 c=31.445 alpha=90.00 beta=90.00 gamma=120.00
Atoms (fractional coordinates):
Gd: 0.000 0.000 0.109
Gd: 0.000 0.000 0.891
Gd: 0.333 0.667 0.558
Gd: 0.333 0.667 0.775
Gd: 0.667 0.333 0.225
Gd: 0.667 0.333 0.442
Tm: 0.000 0.000 0.000
Tm: 0.333 0.667 0.667
Tm: 0.667 0.333 0.333
Pt: 0.000 0.000 0.500
Pt: 0.333 0.667 0.167
Pt: 0.667 0.333 0.833

Results
Formation energy from the elements ... -0.27 eV per atom

***

[2]
Density functional theory data (GGA-PBE) for an optimized crystal structure of SrLiZn.

Unit cell a=4.314 b=6.457 c=12.273 alpha=90.00 beta=90.00 gamma=90.00
Atoms (fractional coordinates):
Sr: 0.000 0.000 0.189
Sr: 0.000 0.000 0.811
Sr: 0.500 0.500 0.311
Sr: 0.500 0.500 0.689
Li: 0.000 0.216 0.500
Li: 0.000 0.784 0.500
Li: 0.500 0.284 0.000
Li: 0.500 0.716 0.000
Zn: 0.000 0.500 0.104
Zn: 0.000 0.500 0.896
Zn: 0.500 0.000 0.396
Zn: 0.500 0.000 0.604

Results
Formation energy from the elements ... -0.12 eV per atom

***

[3]
Density functional theory data (GGA-PBE) for an optimized crystal structure of Dy2YThP4.

Unit cell a=7.001 b=4.052 c=7.002 alpha=90.00 beta=109.47 gamma=90.00
Atoms (fractional coordinates):
Dy: 0.000 0.000 0.000
Dy: 0.500 0.500 0.000
Y: 0.000 0.500 0.500
Th: 0.500 0.000 0.500
P: 0.246 0.500 0.245
P: 0.249 0.000 0.752
P: 0.751 0.000 0.248
P: 0.754 0.500 0.755

Results
Formation energy from the elements ... -1.62 eV per atom

***

[4]
Density functional theory data (GGA-PBE) for an optimized crystal structure of MgU2Au6.

Unit cell a=8.377 b=8.377 c=3.015 alpha=90.00 beta=90.00 gamma=120.00
Atoms (fractional coordinates):
Mg: 0.000 0.000 0.000
U: 0.333 0.667 0.000
U: 0.667 0.333 0.000
Au: 0.000 0.330 0.500
Au: 0.000 0.670 0.500
Au: 0.330 0.000 0.500
Au: 0.330 0.330 0.500
Au: 0.670 0.000 0.500
Au: 0.670 0.670 0.500

Results
Formation energy from the elements ... -0.27 eV per atom

***

[5]
Density functional theory data (GGA-PBE) for an optimized crystal structure of Re3HgF.

Unit cell a=4.286 b=4.286 c=4.286 alpha=90.00 beta=90.00 gamma=90.00
Atoms (fractional coordinates):
Re: 0.000 0.000 0.500
Re: 0.000 0.500 0.000
Re: 0.500 0.000 0.000
Hg: 0.500 0.500 0.500
F: 0.000 0.000 0.000

Results
Raw formation energy ... 1.586 eV/atom

***

[6]
Density functional theory data (GGA-PBE) for an optimized crystal structure of Ba3PaAu2O8.

Unit cell a=5.991 b=5.991 c=8.354 alpha=90.00 beta=90.00 gamma=120.00
Atoms (fractional coordinates):
Ba: 0.000 0.000 0.000
Ba: 0.333 0.667 0.637
Ba: 0.667 0.333 0.363
Pa: 0.000 0.000 0.500
Au: 0.333 0.667 0.173
Au: 0.667 0.333 0.827
O: 0.167 0.335 0.351
O: 0.167 0.833 0.351
O: 0.333 0.667 0.939
O: 0.335 0.167 0.649
O: 0.665 0.833 0.351
O: 0.667 0.333 0.061
O: 0.833 0.167 0.649
O: 0.833 0.665 0.649

Results
Raw formation energy ... -1.877 eV/atom

***

[7]
Density functional theory data (GGA-PBE) for an optimized crystal structure of AcNbS3.

Unit cell a=4.363 b=4.363 c=11.308 alpha=90.00 beta=90.00 gamma=90.00
Atoms (fractional coordinates):
Ac: 0.250 0.250 0.164
Ac: 0.750 0.750 0.836
Nb: 0.250 0.250 0.500
Nb: 0.750 0.750 0.500
S: 0.250 0.250 0.897
S: 0.250 0.750 0.372
S: 0.250 0.750 0.628
S: 0.750 0.250 0.372
S: 0.750 0.250 0.628
S: 0.750 0.750 0.103

Results
Raw formation energy ... -1.585 eV/atom

***

[8]
Density functional theory data (GGA-PBE) for an optimized crystal structure of Er4Al3Cu.

Unit cell a=3.400 b=3.400 c=15.352 alpha=90.00 beta=90.00 gamma=90.00
Atoms (fractional coordinates):
Er: 0.000 0.000 0.113
Er: 0.000 0.000 0.371
Er: 0.000 0.000 0.629
Er: 0.000 0.000 0.887
Al: 0.500 0.500 0.241
Al: 0.500 0.500 0.500
Al: 0.500 0.500 0.759
Cu: 0.500 0.500 0.000

Results
Formation energy from the elements ... -0.36 eV per atom

***

Number 1: total magnetic moment 14.91 μB/f.u.. Number 2: total magnetic moment 0.00 μB/f.u.. Number 3: total magnetic moment 0.00 μB/f.u.. Number 4: total magnetic moment 5.92 μB/f.u.. Number 5: total magnetic moment 1.54 μB/f.u.. Number 6: total magnetic moment 1.86 μB/f.u.. Number 7: total magnetic moment 0.00 μB/f.u.. Number 8: total magnetic moment 0.00 μB/f.u..